A plane-wave DFT calculation with GGA-PBE was carried out for an optimized crystal structure of TlCN2.

Cell lengths 6.7169, 3.8738, 10.4678 Å; angles 90.00, 90.05, 90.00 degrees
Last column: nearest neighbours and their distance in Å.
Space group C2/m (No. 12)
Asymmetric unit:
Tl  0.0000  0.0000  0.0000 x2  6 N 2.74-2.75
Tl  0.0000  0.0000  0.5000 x2  6 N 2.52
C  0.1666  0.5000  0.2676 x4  2 N 1.21-1.27
N  0.1663  0.5000  0.3892 x4  1 C 1.27
N  0.1671  0.5000  0.1519 x4  1 C 1.21

Properties
* E above lowest polymorph: 0 meV per atom
* size of the total moment: 0.0 Bohr magnetons per cell
* energy relative to the elements, uncorrected: 0.3456 eV/atom
* calculated total energy: -6.71 eV/atom
* N(E_F): 2.25 states/eV per cell